Record 1
An optimized crystal structure of BeMoW2. Source: Alexandria via LeMat-Bulk, functional GGA-PBE.

```
data_BeMoW2
_cell_length_a 4.386
_cell_length_b 2.690
_cell_length_c 5.092
_cell_angle_alpha 80.75
_cell_angle_beta 90.00
_cell_angle_gamma 90.00
_space_group_name_H-M_alt 'P 1'
_space_group_IT_number 1
loop_
_space_group_symop_operation_xyz
'x,y,z'
loop_
_atom_site_label
_atom_site_type_symbol
_atom_site_fract_x
_atom_site_fract_y
_atom_site_fract_z
Be1 Be 0.500 0.250 0.250
Mo1 Mo 0.500 0.750 0.750
W1 W 0.000 0.010 0.004
W2 W 0.000 0.490 0.496
```

## Properties
The formation energy is 0.8 eV per formula unit. The value obtained for the final energy is -39.652 eV for the cell shown. As for the calculated density: 13.2 g cm⁻³. As for the density of states at the Fermi level: 0.40 states/eV per atom. Its symmetry is P2/m, No. 10.

---

Record 2
An optimized crystal structure of BeMoW2. Source: Alexandria via LeMat-Bulk, functional GGA-PBE.

```
data_BeMoW2
_cell_length_a 3.198
_cell_length_b 3.198
_cell_length_c 5.654
_cell_angle_alpha 90.00
_cell_angle_beta 90.00
_cell_angle_gamma 90.00
_space_group_name_H-M_alt 'P 1'
_space_group_IT_number 1
loop_
_space_group_symop_operation_xyz
'x,y,z'
loop_
_atom_site_label
_atom_site_type_symbol
_atom_site_fract_x
_atom_site_fract_y
_atom_site_fract_z
Be1 Be 0.500 0.500 0.250
Mo1 Mo 0.500 0.500 0.750
W1 W 0.000 0.000 0.024
W2 W 0.000 0.000 0.476
```

## Properties
The formation energy is 0.7 eV per formula unit. The value obtained for the final energy is -39.781 eV for the cell shown. As for the calculated density: 13.6 g cm⁻³. As for the density of states at the Fermi level: 0.74 states/eV per atom. Its symmetry is P4/mmm, No. 123.